Compound: NpGeSb
Source: Alexandria via LeMat-Bulk
Functional: GGA-PBE
Structure: optimized geometry

POSCAR file:
```
NpGeSb
1.0
-2.813 -1.168 0.435
1.267 -1.254 4.823
-2.065 4.601 -1.003
Np Sb Ge
1 1 1
direct
0.000 0.000 0.000
0.500 0.333 0.667
0.500 0.667 0.333
```

Summary:
crystal system: hexagonal
excess energy over the best structure of this formula in the dataset: 0.289 eV/atom